# InGeSb2Au4, relaxed, DFT PBE-GGA
data_InGeSb2Au4
_cell_length_a 8.6043
_cell_length_b 11.2743
_cell_length_c 7.5858
_cell_angle_alpha 90.00
_cell_angle_beta 90.00
_cell_angle_gamma 90.00
_space_group_name_H-M_alt 'F m m 2'
_space_group_IT_number 42
_space_group_name_Hall 'F 2 -2'
loop_
_atom_site_label
_atom_site_type_symbol
_atom_site_fract_x
_atom_site_fract_y
_atom_site_fract_z
_atom_site_occupancy
In1 In 0.0000 0.0000 0.0000 1
Ge1 Ge 0.0000 0.0000 0.4997 1
Sb1 Sb 0.2500 0.2500 0.2485 1
Au1 Au 0.0000 0.2410 0.4984 1
Au2 Au 0.2500 0.0000 0.2500 1
# * E_form (uncorrected): -0.28 eV/f.u.

# InGe2SbAu, relaxed, DFT PBE-GGA
data_InGe2SbAu
_cell_length_a 5.4548
_cell_length_b 5.4548
_cell_length_c 5.1768
_cell_angle_alpha 90.00
_cell_angle_beta 90.00
_cell_angle_gamma 90.00
_space_group_name_H-M_alt 'P 4/m m m'
_space_group_IT_number 123
_space_group_name_Hall '-P 4 2'
loop_
_atom_site_label
_atom_site_type_symbol
_atom_site_fract_x
_atom_site_fract_y
_atom_site_fract_z
_atom_site_occupancy
In1 In 0.0000 0.0000 0.0000 1
Ge1 Ge 0.0000 0.5000 0.5000 1
Sb1 Sb 0.5000 0.5000 0.5000 1
Au1 Au 0.5000 0.5000 0.0000 1
# * E_form (uncorrected): 3.30 eV/f.u.

# In2GeAuSe6, relaxed, DFT PBE-GGA
data_In2GeAuSe6
_cell_length_a 13.2244
_cell_length_b 16.1499
_cell_length_c 6.9245
_cell_angle_alpha 90.00
_cell_angle_beta 117.37
_cell_angle_gamma 90.00
_space_group_name_H-M_alt 'C 1 2/c 1'
_space_group_IT_number 15
_space_group_name_Hall '-C 2yc'
loop_
_atom_site_label
_atom_site_type_symbol
_atom_site_fract_x
_atom_site_fract_y
_atom_site_fract_z
_atom_site_occupancy
In1 In 0.1781 0.0891 0.2057 1
Ge1 Ge 0.0000 0.3025 0.2500 1
Au1 Au 0.0000 0.3983 0.7500 1
Se1 Se 0.0968 0.4140 0.5213 1
Se2 Se 0.1007 0.2394 0.0853 1
Se3 Se 0.1211 0.0573 0.7862 1
# * E_form (uncorrected): -1.85 eV/f.u.

# SmInGeAu, relaxed, DFT PBE-GGA
data_SmInGeAu
_cell_length_a 7.1408
_cell_length_b 7.1408
_cell_length_c 7.1408
_cell_angle_alpha 90.00
_cell_angle_beta 90.00
_cell_angle_gamma 90.00
_space_group_name_H-M_alt 'F -4 3 m'
_space_group_IT_number 216
_space_group_name_Hall 'F -4 2 3'
loop_
_atom_site_label
_atom_site_type_symbol
_atom_site_fract_x
_atom_site_fract_y
_atom_site_fract_z
_atom_site_occupancy
Sm1 Sm 0.0000 0.0000 0.0000 1
In1 In 0.0000 0.0000 0.5000 1
Ge1 Ge 0.2500 0.2500 0.7500 1
Au1 Au 0.2500 0.2500 0.2500 1
# * formation energy: -0.44 eV/atom

# Sr2In6GeAu, relaxed, DFT PBE-GGA
data_Sr2In6GeAu
_cell_length_a 7.3401
_cell_length_b 7.3401
_cell_length_c 38.4545
_cell_angle_alpha 90.00
_cell_angle_beta 90.00
_cell_angle_gamma 120.00
_space_group_name_H-M_alt 'R -3 m'
_space_group_IT_number 166
_space_group_name_Hall '-R 3 2"'
loop_
_atom_site_label
_atom_site_type_symbol
_atom_site_fract_x
_atom_site_fract_y
_atom_site_fract_z
_atom_site_occupancy
Sr1 Sr 0.0000 0.0000 0.1062 1
Sr2 Sr 0.0000 0.0000 0.2814 1
In1 In 0.0522 0.5261 0.3006 1
In2 In 0.0612 0.5306 0.8663 1
Ge1 Ge 0.0000 0.0000 0.4270 1
Au1 Au 0.0000 0.0000 0.0000 1
Au2 Au 0.0000 0.0000 0.5000 1
# * formation energy: -0.16 eV/atom

# Sr2In2GeAu4, relaxed, DFT PBE-GGA
data_Sr2In2GeAu4
_cell_length_a 7.0792
_cell_length_b 7.0792
_cell_length_c 9.0414
_cell_angle_alpha 90.00
_cell_angle_beta 90.00
_cell_angle_gamma 90.00
_space_group_name_H-M_alt 'I 4/m m m'
_space_group_IT_number 139
_space_group_name_Hall '-I 4 2'
loop_
_atom_site_label
_atom_site_type_symbol
_atom_site_fract_x
_atom_site_fract_y
_atom_site_fract_z
_atom_site_occupancy
Sr1 Sr 0.0000 0.5000 0.2500 1
In1 In 0.0000 0.0000 0.1817 1
Ge1 Ge 0.0000 0.0000 0.5000 1
Au1 Au 0.2388 0.2388 0.0000 1
# * formation energy: -0.46 eV/atom

# Sr2InGe3Au4, relaxed, DFT PBE-GGA
data_Sr2InGe3Au4
_cell_length_a 4.5313
_cell_length_b 4.5313
_cell_length_c 11.2104
_cell_angle_alpha 90.00
_cell_angle_beta 90.00
_cell_angle_gamma 90.00
_space_group_name_H-M_alt 'P -4 m 2'
_space_group_IT_number 115
_space_group_name_Hall 'P -4 -2'
loop_
_atom_site_label
_atom_site_type_symbol
_atom_site_fract_x
_atom_site_fract_y
_atom_site_fract_z
_atom_site_occupancy
Sr1 Sr 0.0000 0.5000 0.2378 1
In1 In 0.0000 0.0000 0.5000 1
Ge1 Ge 0.0000 0.5000 0.8738 1
Ge2 Ge 0.5000 0.5000 0.5000 1
Au1 Au 0.0000 0.0000 0.0000 1
Au2 Au 0.0000 0.5000 0.6453 1
Au3 Au 0.5000 0.5000 0.0000 1
# * formation energy: -0.51 eV/atom

# Sr2InGe4Au3, relaxed, DFT PBE-GGA
data_Sr2InGe4Au3
_cell_length_a 4.5118
_cell_length_b 4.5118
_cell_length_c 11.2430
_cell_angle_alpha 90.00
_cell_angle_beta 90.00
_cell_angle_gamma 90.00
_space_group_name_H-M_alt 'P -4 m 2'
_space_group_IT_number 115
_space_group_name_Hall 'P -4 -2'
loop_
_atom_site_label
_atom_site_type_symbol
_atom_site_fract_x
_atom_site_fract_y
_atom_site_fract_z
_atom_site_occupancy
Sr1 Sr 0.0000 0.5000 0.2423 1
In1 In 0.0000 0.0000 0.5000 1
Ge1 Ge 0.0000 0.0000 0.0000 1
Ge2 Ge 0.0000 0.5000 0.6450 1
Ge3 Ge 0.5000 0.5000 0.0000 1
Au1 Au 0.0000 0.5000 0.8713 1
Au2 Au 0.5000 0.5000 0.5000 1
# * formation energy: -0.46 eV/atom